# 1
Computed, not measured: an optimized crystal structure of NpSn2Cl8 at the PBE level of DFT.

Its density of states at the Fermi level is 3.93 states/eV per cell. The calculation puts the distance to the lowest polymorph of the same formula at 38 meV/atom. The calculation puts the raw total energy at -4.48 eV per atom. The calculation puts the total magnetic moment at 0.273 μB/atom. As for the crystal system: monoclinic. The space group is C2/m.

Unit cell a=7.847 b=7.847 c=8.111 alpha=104.27 beta=104.27 gamma=68.09
Fractional positions:
1 Np 0.000 0.000 0.000
2 Sn 0.147 0.147 0.623
3 Sn 0.853 0.853 0.377
4 Cl 0.127 0.725 0.184
5 Cl 0.183 0.183 0.234
6 Cl 0.275 0.873 0.816
7 Cl 0.333 0.333 0.790
8 Cl 0.667 0.667 0.210
9 Cl 0.725 0.127 0.184
10 Cl 0.817 0.817 0.766
11 Cl 0.873 0.275 0.816

***

# 2
Computed, not measured: an optimized crystal structure of NpTlSnCl6 at the PBE level of DFT.

Its density of states at the Fermi level is 17.20 states/eV per cell. The calculation puts the raw total energy at -4.71 eV per atom. The calculation puts the total magnetic moment at 0.444 μB/atom. As for the crystal system: trigonal. The space group is P-31c.

Unit cell a=7.403 b=7.403 c=13.484 alpha=90.00 beta=90.00 gamma=120.00
Fractional positions:
1 Np 0.333 0.667 0.250
2 Np 0.667 0.333 0.750
3 Tl 0.000 0.000 0.000
4 Tl 0.000 0.000 0.500
5 Sn 0.333 0.667 0.750
6 Sn 0.667 0.333 0.250
7 Cl 0.013 0.372 0.137
8 Cl 0.013 0.640 0.363
9 Cl 0.360 0.372 0.363
10 Cl 0.360 0.987 0.137
11 Cl 0.372 0.013 0.637
12 Cl 0.372 0.360 0.863
13 Cl 0.628 0.640 0.137
14 Cl 0.628 0.987 0.363
15 Cl 0.640 0.013 0.863
16 Cl 0.640 0.628 0.637
17 Cl 0.987 0.360 0.637
18 Cl 0.987 0.628 0.863

***

# 3
Computed, not measured: an optimized crystal structure of NpTlSn2Cl8 at the PBE level of DFT.

Its density of states at the Fermi level is 4.97 states/eV per cell. The calculation puts the raw total energy at -4.41 eV per atom. The calculation puts the total magnetic moment at 0.333 μB/atom. As for the crystal system: triclinic. The space group is P-1.

Unit cell a=6.582 b=6.875 c=9.069 alpha=86.79 beta=88.00 gamma=88.54
Fractional positions:
1 Np 0.000 0.000 0.000
2 Tl 0.000 0.000 0.500
3 Sn 0.496 0.490 0.748
4 Sn 0.504 0.510 0.252
5 Cl 0.225 0.824 0.785
6 Cl 0.249 0.319 0.965
7 Cl 0.255 0.860 0.216
8 Cl 0.277 0.368 0.544
9 Cl 0.723 0.632 0.456
10 Cl 0.745 0.140 0.784
11 Cl 0.751 0.681 0.035
12 Cl 0.775 0.176 0.215

***

# 4
Computed, not measured: an optimized crystal structure of SrNp2Cl8 at the PBE level of DFT.

Its density of states at the Fermi level is 5.51 states/eV per cell. The calculation puts the distance to the lowest polymorph of the same formula at 22 meV/atom. The calculation puts the raw total energy at -5.72 eV per atom. The calculation puts the total magnetic moment at 0.727 μB/atom. As for the crystal system: monoclinic. The space group is C2/m.

Unit cell a=7.596 b=7.596 c=5.457 alpha=97.70 beta=97.70 gamma=111.42
Fractional positions:
1 Sr 0.000 0.000 0.000
2 Np 0.319 0.681 0.500
3 Np 0.681 0.319 0.500
4 Cl 0.061 0.326 0.588
5 Cl 0.238 0.762 0.000
6 Cl 0.326 0.061 0.588
7 Cl 0.374 0.374 0.197
8 Cl 0.626 0.626 0.803
9 Cl 0.674 0.939 0.412
10 Cl 0.762 0.238 0.000
11 Cl 0.939 0.674 0.412

***

# 5
Computed, not measured: an optimized crystal structure of SrNp2Cl8 at the PBE level of DFT.

Its density of states at the Fermi level is 11.63 states/eV per cell. The calculation puts the distance to the lowest polymorph of the same formula at 0 meV/atom. The calculation puts the raw total energy at -5.75 eV per atom. The calculation puts the total magnetic moment at 0.727 μB/atom. As for the crystal system: monoclinic. The space group is C2/m.

Unit cell a=7.230 b=7.230 c=7.215 alpha=101.03 beta=101.03 gamma=75.04
Fractional positions:
1 Sr 0.000 0.000 0.000
2 Np 0.319 0.319 0.548
3 Np 0.681 0.681 0.452
4 Cl 0.049 0.664 0.686
5 Cl 0.191 0.191 0.815
6 Cl 0.336 0.951 0.314
7 Cl 0.440 0.440 0.260
8 Cl 0.560 0.560 0.740
9 Cl 0.664 0.049 0.686
10 Cl 0.809 0.809 0.185
11 Cl 0.951 0.336 0.314

***

# 6
Computed, not measured: an optimized crystal structure of Sr2NpCl6 at the PBE level of DFT.

Its density of states at the Fermi level is 17.85 states/eV per cell. The calculation puts the raw total energy at -5.07 eV per atom. The calculation puts the total magnetic moment at 0.553 μB/atom. As for the crystal system: tetragonal. The space group is P4_2/mnm.

Unit cell a=6.763 b=6.763 c=13.347 alpha=90.00 beta=90.00 gamma=90.00
Fractional positions:
1 Sr 0.000 0.000 0.167
2 Sr 0.000 0.000 0.833
3 Sr 0.500 0.500 0.333
4 Sr 0.500 0.500 0.667
5 Np 0.000 0.000 0.500
6 Np 0.500 0.500 0.000
7 Cl 0.195 0.195 0.336
8 Cl 0.195 0.195 0.664
9 Cl 0.199 0.199 0.000
10 Cl 0.301 0.699 0.500
11 Cl 0.305 0.695 0.164
12 Cl 0.305 0.695 0.836
13 Cl 0.695 0.305 0.164
14 Cl 0.695 0.305 0.836
15 Cl 0.699 0.301 0.500
16 Cl 0.801 0.801 0.000
17 Cl 0.805 0.805 0.336
18 Cl 0.805 0.805 0.664

***

# 7
Computed, not measured: an optimized crystal structure of SrNp2Cl11 at the PBE level of DFT.

Its density of states at the Fermi level is 43.55 states/eV per cell. The calculation puts the raw total energy at -5.09 eV per atom. The calculation puts the total magnetic moment at 0.357 μB/atom. As for the crystal system: orthorhombic. The space group is Ibam.

Unit cell a=10.747 b=10.747 c=10.747 alpha=113.33 beta=113.19 gamma=102.14
Fractional positions:
1 Sr 0.250 0.250 0.000
2 Sr 0.750 0.750 0.000
3 Np 0.163 0.664 0.827
4 Np 0.337 0.164 0.501
5 Np 0.663 0.836 0.499
6 Np 0.837 0.336 0.173
7 Cl 0.000 0.500 0.500
8 Cl 0.074 0.354 0.161
9 Cl 0.087 0.927 0.282
10 Cl 0.145 0.427 0.841
11 Cl 0.192 0.310 0.502
12 Cl 0.194 0.913 0.839
13 Cl 0.306 0.146 0.720
14 Cl 0.308 0.810 0.119
15 Cl 0.355 0.196 0.282
16 Cl 0.413 0.696 0.841
17 Cl 0.426 0.587 0.280
18 Cl 0.500 0.000 0.500
19 Cl 0.574 0.413 0.720
20 Cl 0.587 0.304 0.159
21 Cl 0.645 0.804 0.718
22 Cl 0.692 0.190 0.881
23 Cl 0.694 0.854 0.280
24 Cl 0.806 0.087 0.161
25 Cl 0.808 0.690 0.498
26 Cl 0.855 0.573 0.159
27 Cl 0.913 0.073 0.718
28 Cl 0.926 0.646 0.839

***

# 8
Computed, not measured: an optimized crystal structure of SrNpTlCl6 at the PBE level of DFT.

Its density of states at the Fermi level is 16.79 states/eV per cell. The calculation puts the raw total energy at -4.94 eV per atom. The calculation puts the total magnetic moment at 0.444 μB/atom. As for the crystal system: trigonal. The space group is P-31c.

Unit cell a=7.496 b=7.496 c=13.373 alpha=90.00 beta=90.00 gamma=120.00
Fractional positions:
1 Sr 0.333 0.667 0.250
2 Sr 0.667 0.333 0.750
3 Np 0.333 0.667 0.750
4 Np 0.667 0.333 0.250
5 Tl 0.000 0.000 0.000
6 Tl 0.000 0.000 0.500
7 Cl 0.017 0.374 0.636
8 Cl 0.017 0.643 0.864
9 Cl 0.357 0.374 0.864
10 Cl 0.357 0.983 0.636
11 Cl 0.374 0.017 0.136
12 Cl 0.374 0.357 0.364
13 Cl 0.626 0.643 0.636
14 Cl 0.626 0.983 0.864
15 Cl 0.643 0.017 0.364
16 Cl 0.643 0.626 0.136
17 Cl 0.983 0.357 0.136
18 Cl 0.983 0.626 0.364

***

# 9
Computed, not measured: an optimized crystal structure of TbNpCl2 at the PBE level of DFT.

Its density of states at the Fermi level is 5.73 states/eV per cell. The calculation puts the raw total energy at -6.28 eV per atom. The calculation puts the total magnetic moment at 1.212 μB/atom. As for the crystal system: trigonal. The space group is R-3m.

Unit cell a=9.946 b=9.946 c=9.946 alpha=19.72 beta=19.72 gamma=19.72
Fractional positions:
1 Tb 0.000 0.000 0.000
2 Np 0.500 0.500 0.500
3 Cl 0.402 0.402 0.402
4 Cl 0.598 0.598 0.598

***

# 10
Computed, not measured: an optimized crystal structure of TbNpCl6 at the PBE level of DFT.

Its density of states at the Fermi level is 4.72 states/eV per cell. The calculation puts the raw total energy at -5.55 eV per atom. The calculation puts the total magnetic moment at 0.500 μB/atom. As for the crystal system: monoclinic. The space group is C2/m.

Unit cell a=7.064 b=7.064 c=6.717 alpha=97.53 beta=97.53 gamma=122.12
Fractional positions:
1 Tb 0.000 0.000 0.000
2 Np 0.500 0.500 0.500
3 Cl 0.098 0.386 0.245
4 Cl 0.245 0.245 0.752
5 Cl 0.386 0.098 0.245
6 Cl 0.614 0.902 0.755
7 Cl 0.755 0.755 0.248
8 Cl 0.902 0.614 0.755

***

# 11
Computed, not measured: an optimized crystal structure of TbNpTl2Cl8 at the PBE level of DFT.

Its density of states at the Fermi level is 5.17 states/eV per cell. The calculation puts the raw total energy at -4.75 eV per atom. The calculation puts the total magnetic moment at 0.333 μB/atom. As for the crystal system: triclinic. The space group is P-1.

Unit cell a=6.829 b=7.356 c=8.464 alpha=90.28 beta=90.46 gamma=92.17
Fractional positions:
1 Tb 0.000 0.000 0.000
2 Np 0.000 0.000 0.500
3 Tl 0.498 0.498 0.755
4 Tl 0.502 0.502 0.245
5 Cl 0.212 0.868 0.757
6 Cl 0.214 0.871 0.245
7 Cl 0.220 0.299 0.000
8 Cl 0.227 0.305 0.496
9 Cl 0.773 0.695 0.504
10 Cl 0.780 0.701 0.000
11 Cl 0.786 0.129 0.755
12 Cl 0.788 0.132 0.243

***

# 12
Computed, not measured: an optimized crystal structure of NpTcCl at the PBE level of DFT.

Its density of states at the Fermi level is 25.70 states/eV per cell. The calculation puts the raw total energy at -8.82 eV per atom. The calculation puts the total magnetic moment at 1.227 μB/atom. As for the crystal system: monoclinic. The space group is C2/m.

Unit cell a=12.223 b=12.223 c=5.981 alpha=101.79 beta=101.79 gamma=19.06
Fractional positions:
1 Np 0.151 0.151 0.153
2 Np 0.158 0.158 0.640
3 Np 0.842 0.842 0.360
4 Np 0.849 0.849 0.847
5 Tc 0.267 0.267 0.620
6 Tc 0.271 0.271 0.108
7 Tc 0.729 0.729 0.892
8 Tc 0.733 0.733 0.380
9 Cl 0.060 0.060 0.802
10 Cl 0.413 0.413 0.664
11 Cl 0.587 0.587 0.336
12 Cl 0.940 0.940 0.198